Record 1
# GGA-PBE K2Rb4AgHg2, optimized geometry
data_K2Rb4AgHg2
_cell_length_a 6.187
_cell_length_b 8.846
_cell_length_c 10.445
_cell_angle_alpha 69.17
_cell_angle_beta 72.88
_cell_angle_gamma 69.62
_symmetry_space_group_name_H-M 'P -1'
_symmetry_Int_Tables_number 2
loop_
_symmetry_equiv_pos_as_xyz
'x,y,z'
'-x,-y,-z'
loop_
_atom_site_label
_atom_site_type_symbol
_atom_site_fract_x
_atom_site_fract_y
_atom_site_fract_z
K1 K 0.138 0.459 0.263
Rb1 Rb 0.145 0.834 0.875
Rb2 Rb 0.400 0.812 0.388
Ag1 Ag 0.500 0.000 0.000
Hg1 Hg 0.362 0.365 0.916
# Total magnetic moment   0.0 μB per cell
# Density of states at the Fermi level   0.58 states/eV per atom
# Final energy   -1.1448 eV/atom

***

Record 2
# GGA-PBE KRbAgHg2, optimized geometry
data_KRbAgHg2
_cell_length_a 5.607
_cell_length_b 5.607
_cell_length_c 6.101
_cell_angle_alpha 90.00
_cell_angle_beta 90.00
_cell_angle_gamma 90.00
_symmetry_space_group_name_H-M 'P 4/m m m'
_symmetry_Int_Tables_number 123
_symmetry_space_group_name_Hall '-P 4 2'
loop_
_atom_site_label
_atom_site_type_symbol
_atom_site_fract_x
_atom_site_fract_y
_atom_site_fract_z
K1 K 0.000 0.000 0.000
Rb1 Rb 0.500 0.500 0.000
Ag1 Ag 0.000 0.000 0.500
Hg1 Hg 0.000 0.500 0.500
# Total magnetic moment   0.0 μB per cell
# Relative energy among the computed polymorphs   0.0000 eV/atom
# Density of states at the Fermi level   0.50 states/eV per atom
# Final energy   -1.1514 eV/atom